A plane-wave DFT calculation with GGA+U was carried out for a relaxed structure of YV2O4.

Summary:
* calculated total energy: -8.2547 eV per atom
* energy relative to the lowest polymorph listed for this composition: 82.5 meV/atom

Structure (CIF):
```
data_YV2O4
_chemical_formula_sum 'Y4 V8 O16'
_cell_length_a 6.2667
_cell_length_b 6.5542
_cell_length_c 8.9242
_cell_angle_alpha 90.00
_cell_angle_beta 90.00
_cell_angle_gamma 90.00
_space_group_name_H-M_alt 'I m m a'
_space_group_IT_number 74
_space_group_name_Hall '-I 2b 2'
loop_
_atom_site_label
_atom_site_fract_x
_atom_site_fract_y
_atom_site_fract_z
Y1 0.0000 0.0000 0.0000
V1 0.0000 0.2500 0.3727
V2 0.2500 0.2500 0.7500
O1 0.0000 0.0077 0.7441
O2 0.2485 0.2500 0.9939
```